Compound: LiMnPO4
Source: Alexandria via LeMat-Bulk
Functional: GGA+U
Structure: optimized geometry

## Properties
Excess energy over the best structure of this formula in the dataset ... 29 kJ/mol of formula units
Density of states at the Fermi level ... 0.00 states/eV/cell
Crystal system ... triclinic
VASP energy ... -7.14 eV/atom

a b c (Å): 5.736 6.323 9.309
angles (deg): 76.62 84.79 74.52
Each line ends with the local moment (μB).
Element x y z (fractional)
O  0.163  0.166  0.409  0.03
O  0.837  0.834  0.591  0.03
O  0.311  0.952  0.148  0.02
O  0.361  0.306  0.592  0.01
O  0.953  0.301  0.115  0.04
O  0.639  0.694  0.408  0.01
O  0.205  0.557  0.340  0.04
O  0.606  0.673  0.944  0.03
O  0.592  0.234  0.359  0.02
O  0.845  0.812  0.108  0.03
O  0.394  0.327  0.056  0.03
O  0.408  0.766  0.641  0.02
O  0.795  0.443  0.660  0.04
O  0.689  0.048  0.852  0.02
O  0.155  0.188  0.892  0.03
O  0.047  0.699  0.885  0.04
Li  0.746  0.149  0.624  0.00
Li  0.635  0.987  0.243  0.00
Li  0.365  0.013  0.757  0.00
Li  0.254  0.851  0.376  0.00
P  0.206  0.190  0.053  0.01
P  0.333  0.313  0.425  0.01
P  0.667  0.687  0.575  0.01
P  0.794  0.810  0.947  0.01
Mn  0.146  0.563  0.696  4.65
Mn  0.263  0.666  0.086  4.66
Mn  0.854  0.437  0.304  4.65
Mn  0.737  0.334  0.914  4.66